Material: Ca5PuBi4
Method: DFT, PBE
State: relaxed

The structure in POSCAR format:
```
Ca5PuBi4
1.0
5.199 0.000 0.000
0.000 7.390 -2.922
-2.600 -3.899 10.861
Ca Pu Bi
5 1 4
Direct
0.500 0.500 0.000
0.166 0.325 0.332
0.161 0.836 0.322
0.839 0.164 0.678
0.834 0.675 0.668
0.500 0.000 0.000
0.685 0.122 0.370
0.315 0.878 0.630
0.976 0.702 0.953
0.024 0.298 0.047
```

Results
Its space group is C2/m.

=====

Material: NbCdPb3
Method: DFT, PBE
State: relaxed

The structure in POSCAR format:
```
NbCdPb3
1.0
5.543 0.000 0.000
0.000 5.543 0.000
0.000 0.000 5.543
Nb Pb Cd
1 3 1
Direct
0.000 0.000 0.000
0.500 0.000 0.000
0.000 0.500 0.000
0.000 0.000 0.500
0.500 0.500 0.500
```

Results
For the energy above the most stable polymorph in this dataset, the calculation gives 0 meV per atom. Its space group is Pm-3m.

=====

Mass density? In order: 5.94 8.06 Mg/m³.
Energy of formation from the pure elements? In order: -654 400 meV per atom.